1.
Computed, not measured: an optimized crystal structure of LaCuCl2 at the PBE level of DFT.

Geometry as POSCAR:
```
LaCuCl2
1.0
6.197 0.000 0.000
0.000 6.197 0.000
3.098 3.098 5.720
Cl La Cu
4 2 2
direct
0.875 0.793 0.750
0.543 0.125 0.250
0.207 0.625 0.250
0.375 0.457 0.750
0.750 0.250 0.500
0.000 0.000 0.000
0.250 0.750 0.500
0.500 0.500 0.000
```

Computed properties:
For the total energy, the calculation gives -3.874 eV per atom. For the formation energy from raw total energies, the calculation gives -0.70 eV/atom. Its total moment is 1.85 μB per formula unit. As for the space-group type: I-42d.

2.
Computed, not measured: an optimized crystal structure of Zn2AgHg at the PBE level of DFT.

Geometry as POSCAR:
```
Zn2AgHg
1.0
-2.217 -0.818 4.436
5.586 0.556 -0.065
0.687 3.001 0.672
Ag Hg Zn
1 1 2
direct
0.000 0.500 0.500
0.500 0.500 0.000
0.500 0.000 0.500
0.000 0.000 0.000
```

Computed properties:
For the total energy, the calculation gives -1.332 eV per atom. The value obtained for the energy of formation from the pure elements is 0.4 eV/f.u. Its total moment is 0.00 μB per formula unit. As for the space-group type: C2/m.